Entry from the Alexandria database: Tb6Pm3Tm2Mg after structural relaxation (PBE-GGA).

Unit cell a=6.1711 b=10.6908 c=11.6916 alpha=90.00 beta=100.17 gamma=90.00
Space group C2/m (No. 12)
One atom of each set of equivalent atoms:
Tb1 0.2466 0.1663 0.2440 [8 per cell]
Tb2 0.2475 0.5000 0.2449 [4 per cell]
Pm1 0.0000 0.1660 0.5000 [4 per cell]
Pm2 0.0000 0.5000 0.5000 [2 per cell]
Tm1 0.0000 0.3338 0.0000 [4 per cell]
Mg1 0.0000 0.0000 0.0000 [2 per cell]

Properties
Calculated density = 7.66 Mg/m³
Raw total energy = -4.348 eV/atom
ΔH_f (0 K) = 33 meV/atom
Spin magnetization = 0.00 μB/cell